The following is a GGA-PBE calculation of an optimized crystal structure of Sm8As6Se, from Alexandria via LeMat-Bulk.

Cell and atoms, written as CIF:
```
data_Sm8As6Se
_chemical_formula_sum 'Sm8 As6 Se1'
_space_group_name_H-M_alt 'P -3'
_space_group_IT_number 147
_cell_length_a 10.6181
_cell_length_b 10.6181
_cell_length_c 4.3951
_cell_angle_alpha 90.00
_cell_angle_beta 90.00
_cell_angle_gamma 120.00
loop_
_space_group_symop_operation_xyz
'x,y,z'
'-x,-y,-z'
'-y,x-y,z'
'y,-x+y,-z'
'-x+y,-x,z'
'x-y,x,-z'
loop_
_atom_site_label
_atom_site_type_symbol
_atom_site_fract_x
_atom_site_fract_y
_atom_site_fract_z
_atom_site_occupancy
Sm1 Sm 0.0322 0.3370 0.2384 1
Sm2 Sm 0.3333 0.6667 0.7547 1
As1 As 0.1326 0.6562 0.2591 1
Se1 Se 0.0000 0.0000 0.0000 1
```

Computed properties:
**Volume**: 429.1 Å³ per cell
**Formation energy without anion corrections**: -27.17 kcal/mol of atoms
**D(E_F)**: 0.6652 states/eV/atom